1.
# LiHoLu2 | Alexandria | PBE-GGA | optimized geometry
# E above lowest polymorph = 0 meV/atom
# Energy of formation = 0.081 eV/atom
data_LiHoLu2
_chemical_formula_sum 'Li1 Ho1 Lu2'
_cell_length_a 3.534
_cell_length_b 3.534
_cell_length_c 8.682
_cell_angle_alpha 90.00
_cell_angle_beta 90.00
_cell_angle_gamma 90.00
_symmetry_space_group_name_H-M 'P 4/m m m'
_symmetry_Int_Tables_number 123
_symmetry_space_group_name_Hall '-P 4 2'
loop_
_atom_site_label
_atom_site_fract_x
_atom_site_fract_y
_atom_site_fract_z
Li1 0.000 0.000 0.000
Ho1 0.000 0.000 0.500
Lu1 0.500 0.500 0.222



2.
# Hf2Al5Fe2Ru | Alexandria | PBE-GGA | optimized geometry
# Energy of formation = -0.399 eV/atom
data_Hf2Al5Fe2Ru
_chemical_formula_sum 'Hf4 Al10 Fe4 Ru2'
_cell_length_a 8.713
_cell_length_b 8.713
_cell_length_c 4.002
_cell_angle_alpha 90.00
_cell_angle_beta 90.00
_cell_angle_gamma 90.00
_symmetry_space_group_name_H-M 'P 4/m b m'
_symmetry_Int_Tables_number 127
_symmetry_space_group_name_Hall '-P 4 2ab'
loop_
_atom_site_label
_atom_site_fract_x
_atom_site_fract_y
_atom_site_fract_z
Hf1 0.173 0.327 0.000
Al1 0.000 0.500 0.500
Al2 0.069 0.794 0.500
Fe1 0.120 0.620 0.000
Ru1 0.000 0.000 0.000